1.
Pr6Ho12Al: relaxed, PBE.

CIF file:
```
data_Pr6Ho12Al
_chemical_formula_sum 'Pr18 Ho36 Al3'
_space_group_name_H-M_alt 'R -3'
_space_group_IT_number 148
_space_group_name_Hall '-R 3'
_cell_length_a 11.9258
_cell_length_b 11.9258
_cell_length_c 14.8884
_cell_angle_alpha 90.00
_cell_angle_beta 90.00
_cell_angle_gamma 120.00
loop_
_atom_site_label
_atom_site_type_symbol
_atom_site_fract_x
_atom_site_fract_y
_atom_site_fract_z
Pr1 Pr 0.0155 0.4235 0.1830
Ho1 Ho 0.0009 0.1705 0.3143
Ho2 Ho 0.0479 0.8538 0.9155
Al1 Al 0.0000 0.0000 0.5000
```

Calculated values
For the spin magnetization, the calculation gives 0.000 μB/cell. The calculation puts the density of states at the Fermi level at 1.259 states/eV/atom. The formation enthalpy at 0 K is 0.09 eV per atom.


2.
K2BaTeO4: relaxed, PBE.

CIF file:
```
data_K2BaTeO4
_chemical_formula_sum 'K8 Ba4 Te4 O16'
_space_group_name_H-M_alt 'C 1 2 1'
_space_group_IT_number 5
_space_group_name_Hall 'C 2y'
_cell_length_a 13.843
_cell_length_b 7.745
_cell_length_c 7.556
_cell_angle_alpha 90.00
_cell_angle_beta 122.06
_cell_angle_gamma 90.00
loop_
_atom_site_label
_atom_site_type_symbol
_atom_site_fract_x
_atom_site_fract_y
_atom_site_fract_z
K1 K 0.000 0.000 0.000
K2 K 0.000 0.004 0.500
K3 K 0.241 0.228 0.447
Ba1 Ba 0.000 0.466 0.500
Ba2 Ba 0.000 0.468 0.000
Te1 Te 0.237 0.735 0.048
O1 O 0.025 0.261 0.277
O2 O 0.078 0.739 0.834
O3 O 0.234 0.551 0.214
O4 O 0.247 0.922 0.223
```

Calculated values
For the uncorrected formation energy, the calculation gives -1.68 eV per atom. For the spin magnetization, the calculation gives 0.293 μB/cell. The calculation puts the density of states at the Fermi level at 0.000 states/eV/atom.


3.
Tm5Tl2Zn2: relaxed, PBE.

CIF file:
```
data_Tm5Tl2Zn2
_chemical_formula_sum 'Tm20 Tl8 Zn8'
_space_group_name_H-M_alt 'C m c e'
_space_group_IT_number 64
_space_group_name_Hall '-C 2ac 2'
_cell_length_a 16.642
_cell_length_b 7.519
_cell_length_c 7.404
_cell_angle_alpha 90.00
_cell_angle_beta 90.00
_cell_angle_gamma 90.00
loop_
_atom_site_label
_atom_site_type_symbol
_atom_site_fract_x
_atom_site_fract_y
_atom_site_fract_z
Tm1 Tm 0.000 0.000 0.000
Tm2 Tm 0.128 0.185 0.322
Tl1 Tl 0.226 0.000 0.000
Zn1 Zn 0.000 0.120 0.619
```

Calculated values
For the spin magnetization, the calculation gives 0.000 μB/cell. The calculation puts the density of states at the Fermi level at 0.642 states/eV/atom. The formation enthalpy at 0 K is -0.25 eV per atom.


Look up the spin magnetization of the second one. 0.293 μB/cell


Which formula does entry 1 have? Pr6Ho12Al